Entry 1
Below is a relaxed Cr2BP crystal, with properties calculated at the PBE-GGA level.

a = 6.3108 Å, b = 6.3108 Å, c = 4.3934 Å
α = 90.00°, β = 90.00°, γ = 90.00°
Fractional positions:
Cr1 0.1729 0.7500 0.1250
Cr2 0.2500 0.1729 0.8750
Cr3 0.2500 0.3271 0.3750
Cr4 0.3271 0.7500 0.6250
Cr5 0.6729 0.2500 0.6250
Cr6 0.7500 0.6729 0.3750
Cr7 0.7500 0.8271 0.8750
Cr8 0.8271 0.2500 0.1250
B1 0.0000 0.0000 0.0000
B2 0.0000 0.5000 0.2500
B3 0.5000 0.0000 0.7500
B4 0.5000 0.5000 0.5000
P1 0.0000 0.0000 0.5000
P2 0.0000 0.5000 0.7500
P3 0.5000 0.0000 0.2500
P4 0.5000 0.5000 0.0000

The calculation puts the magnetization at 0.00 μB/f.u. As for the space group: I-42d (122).

---

Entry 2
Below is a relaxed Cr2BP crystal, with properties calculated at the PBE-GGA level.

a = 5.4408 Å, b = 5.4408 Å, c = 5.4408 Å
α = 90.00°, β = 90.00°, γ = 90.00°
Fractional positions:
Cr1 0.2500 0.2500 0.2500
Cr2 0.2500 0.2500 0.7500
Cr3 0.2500 0.7500 0.2500
Cr4 0.2500 0.7500 0.7500
Cr5 0.7500 0.2500 0.2500
Cr6 0.7500 0.2500 0.7500
Cr7 0.7500 0.7500 0.2500
Cr8 0.7500 0.7500 0.7500
B1 0.0000 0.0000 0.0000
B2 0.0000 0.5000 0.5000
B3 0.5000 0.0000 0.5000
B4 0.5000 0.5000 0.0000
P1 0.0000 0.0000 0.5000
P2 0.0000 0.5000 0.0000
P3 0.5000 0.0000 0.0000
P4 0.5000 0.5000 0.5000

The calculation puts the magnetization at 0.98 μB/f.u. As for the space group: Fm-3m (225).

---

Stability verdict: entry 2, ahead by 108 meV/atom

---

Entry 1
Below is a relaxed CrBP crystal, with properties calculated at the PBE-GGA level.

a = 2.8500 Å, b = 2.3126 Å, c = 11.9389 Å
α = 90.00°, β = 90.07°, γ = 90.00°
Fractional positions:
Cr1 0.2504 0.2500 0.0806
Cr2 0.7496 0.7500 0.9194
B1 0.2483 0.2500 0.6327
B2 0.7517 0.7500 0.3673
P1 0.2490 0.2500 0.7960
P2 0.7510 0.7500 0.2040

The calculation puts the magnetization at 0.00 μB/f.u. As for the space group: P2_1/m (11).

---

Entry 2
Below is a relaxed CrBP crystal, with properties calculated at the PBE-GGA level.

a = 2.9340 Å, b = 16.2016 Å, c = 2.9133 Å
α = 90.00°, β = 90.00°, γ = 90.00°
Fractional positions:
Cr1 0.0000 0.0719 0.2500
Cr2 0.0000 0.9281 0.7500
Cr3 0.5000 0.4281 0.7500
Cr4 0.5000 0.5719 0.2500
B1 0.0000 0.4714 0.2500
B2 0.0000 0.5286 0.7500
B3 0.5000 0.0286 0.7500
B4 0.5000 0.9714 0.2500
P1 0.0000 0.3416 0.2500
P2 0.0000 0.6584 0.7500
P3 0.5000 0.1584 0.7500
P4 0.5000 0.8416 0.2500

The calculation puts the magnetization at 0.00 μB/f.u. As for the space group: Cmcm (63).

---

Stability verdict: entry 2, ahead by 1137 meV/atom

---

Entry 1
Below is a relaxed CrBPS2 crystal, with properties calculated at the PBE-GGA level.

a = 4.1635 Å, b = 4.1635 Å, c = 3.9111 Å
α = 90.00°, β = 90.00°, γ = 90.00°
Fractional positions:
Cr1 0.0000 0.0000 0.0000
B1 0.5000 0.5000 0.5000
P1 0.5000 0.5000 0.0000
S1 0.0000 0.5000 0.5000
S2 0.5000 0.0000 0.5000

The calculation puts the magnetization at 0.09 μB/f.u. As for the space group: P4/mmm (123).

---

Entry 2
Below is a relaxed CrBPS2 crystal, with properties calculated at the PBE-GGA level.

a = 4.4649 Å, b = 4.4649 Å, c = 4.4997 Å
α = 90.00°, β = 90.00°, γ = 90.00°
Fractional positions:
Cr1 0.0000 0.0000 0.0000
B1 0.5000 0.5000 0.5000
P1 0.0000 0.0000 0.5000
S1 0.0000 0.5000 0.0000
S2 0.5000 0.0000 0.0000

The calculation puts the magnetization at 1.07 μB/f.u. As for the space group: P4/mmm (123).

---

Stability verdict: entry 1, ahead by 139 meV/atom

---

Entry 1
Below is a relaxed PaCrB crystal, with properties calculated at the PBE-GGA level.

a = 7.9907 Å, b = 7.9907 Å, c = 7.9907 Å
α = 26.66°, β = 26.66°, γ = 26.66°
Fractional positions:
Pa1 0.2238 0.2238 0.2238
Pa2 0.7762 0.7762 0.7762
Cr1 0.3495 0.3495 0.3495
Cr2 0.6505 0.6505 0.6505
B1 0.0388 0.0388 0.0388
B2 0.9612 0.9612 0.9612

The calculation puts the magnetization at 0.00 μB/f.u. As for the space group: R-3m (166).

---

Entry 2
Below is a relaxed PaCrB crystal, with properties calculated at the PBE-GGA level.

a = 3.6967 Å, b = 3.6967 Å, c = 3.8169 Å
α = 90.00°, β = 90.00°, γ = 120.00°
Fractional positions:
Pa1 0.0000 0.0000 0.0000
Cr1 0.6667 0.3333 0.5000
B1 0.3333 0.6667 0.5000

The calculation puts the magnetization at 0.00 μB/f.u. As for the space group: P-6m2 (187).

---

Stability verdict: entry 1, ahead by 14 meV/atom

---

Entry 1
Below is a relaxed Cr3BPd crystal, with properties calculated at the PBE-GGA level.

a = 4.7855 Å, b = 4.7855 Å, c = 4.7855 Å
α = 90.00°, β = 90.00°, γ = 90.00°
Fractional positions:
Cr1 0.0000 0.0000 0.5000
Cr2 0.0000 0.5000 0.0000
Cr3 0.5000 0.0000 0.0000
B1 0.5000 0.5000 0.5000
Pd1 0.0000 0.0000 0.0000

The calculation puts the magnetization at 11.59 μB/f.u. As for the space group: Pm-3m (221).

---

Entry 2
Below is a relaxed Cr3BPd crystal, with properties calculated at the PBE-GGA level.

a = 3.9033 Å, b = 3.9033 Å, c = 3.9033 Å
α = 90.00°, β = 90.00°, γ = 90.00°
Fractional positions:
Cr1 0.0000 0.0000 0.5000
Cr2 0.0000 0.5000 0.0000
Cr3 0.5000 0.0000 0.0000
B1 0.0000 0.0000 0.0000
Pd1 0.5000 0.5000 0.5000

The calculation puts the magnetization at 0.00 μB/f.u. As for the space group: Pm-3m (221).

---

Stability verdict: entry 2, ahead by 1860 meV/atom

---

Entry 1
Below is a relaxed CrB2Pt crystal, with properties calculated at the PBE-GGA level.

a = 4.6232 Å, b = 4.6232 Å, c = 9.7145 Å
α = 90.00°, β = 90.00°, γ = 90.00°
Fractional positions:
Cr1 0.0000 0.0000 0.0000
Cr2 0.0000 0.5000 0.2500
Cr3 0.5000 0.0000 0.7500
Cr4 0.5000 0.5000 0.5000
B1 0.2478 0.2500 0.1250
B2 0.2500 0.7478 0.3750
B3 0.2500 0.7522 0.8750
B4 0.2522 0.2500 0.6250
B5 0.7478 0.7500 0.6250
B6 0.7500 0.2478 0.8750
B7 0.7500 0.2522 0.3750
B8 0.7522 0.7500 0.1250
Pt1 0.0000 0.0000 0.5000
Pt2 0.0000 0.5000 0.7500
Pt3 0.5000 0.0000 0.2500
Pt4 0.5000 0.5000 0.0000

The calculation puts the magnetization at 0.00 μB/f.u. As for the space group: I-42d (122).

---

Entry 2
Below is a relaxed CrB2Pt crystal, with properties calculated at the PBE-GGA level.

a = 5.3968 Å, b = 5.3968 Å, c = 5.3968 Å
α = 90.00°, β = 90.00°, γ = 90.00°
Fractional positions:
Cr1 0.0000 0.0000 0.0000
Cr2 0.0000 0.5000 0.5000
Cr3 0.5000 0.0000 0.5000
Cr4 0.5000 0.5000 0.0000
B1 0.2500 0.2500 0.2500
B2 0.2500 0.2500 0.7500
B3 0.2500 0.7500 0.2500
B4 0.2500 0.7500 0.7500
B5 0.7500 0.2500 0.2500
B6 0.7500 0.2500 0.7500
B7 0.7500 0.7500 0.2500
B8 0.7500 0.7500 0.7500
Pt1 0.0000 0.0000 0.5000
Pt2 0.0000 0.5000 0.0000
Pt3 0.5000 0.0000 0.0000
Pt4 0.5000 0.5000 0.5000

The calculation puts the magnetization at 1.36 μB/f.u. As for the space group: Fm-3m (225).

---

Stability verdict: entry 2, ahead by 284 meV/atom

---

Entry 1
Below is a relaxed CrB3Pt crystal, with properties calculated at the PBE-GGA level.

a = 3.8585 Å, b = 3.8585 Å, c = 3.8585 Å
α = 90.00°, β = 90.00°, γ = 90.00°
Fractional positions:
Cr1 0.0000 0.0000 0.0000
B1 0.0000 0.0000 0.5000
B2 0.0000 0.5000 0.0000
B3 0.5000 0.0000 0.0000
Pt1 0.5000 0.5000 0.5000

The calculation puts the magnetization at 1.33 μB/f.u. As for the space group: Pm-3m (221).

---

Entry 2
Below is a relaxed CrB3Pt crystal, with properties calculated at the PBE-GGA level.

a = 4.0397 Å, b = 4.0397 Å, c = 4.0397 Å
α = 90.00°, β = 90.00°, γ = 90.00°
Fractional positions:
Cr1 0.0000 0.0000 0.0000
B1 0.0000 0.5000 0.5000
B2 0.5000 0.0000 0.5000
B3 0.5000 0.5000 0.0000
Pt1 0.5000 0.5000 0.5000

The calculation puts the magnetization at 0.14 μB/f.u. As for the space group: Pm-3m (221).

---

Stability verdict: entry 1, ahead by 356 meV/atom

---

Entry 1
Below is a relaxed CrRe3B crystal, with properties calculated at the PBE-GGA level.

a = 4.0711 Å, b = 4.0711 Å, c = 4.0711 Å
α = 90.00°, β = 90.00°, γ = 90.00°
Fractional positions:
Cr1 0.0000 0.0000 0.0000
Re1 0.0000 0.5000 0.5000
Re2 0.5000 0.0000 0.5000
Re3 0.5000 0.5000 0.0000
B1 0.5000 0.5000 0.5000

The calculation puts the magnetization at 0.00 μB/f.u. As for the space group: Pm-3m (221).

---

Entry 2
Below is a relaxed CrRe3B crystal, with properties calculated at the PBE-GGA level.

a = 4.9021 Å, b = 4.9021 Å, c = 7.6074 Å
α = 112.00°, β = 112.00°, γ = 50.67°
Fractional positions:
Cr1 0.1171 0.1171 0.4338
Cr2 0.8829 0.8829 0.5662
Re1 0.1154 0.1154 0.9249
Re2 0.3574 0.3574 0.7647
Re3 0.3666 0.3666 0.3391
Re4 0.6334 0.6334 0.6609
Re5 0.6426 0.6426 0.2353
Re6 0.8846 0.8846 0.0751
B1 0.3804 0.3804 0.0624
B2 0.6196 0.6196 0.9376

The calculation puts the magnetization at 0.00 μB/f.u. As for the space group: C2/m (12).

---

Stability verdict: entry 2, ahead by 232 meV/atom